Entry 1:
CdCuH2O4 GGA-PBE optimized geometry; uncorrected energy = -4.525 eV/atom; SG = I222, No. 23; total moment = 0.79 μB/f.u.
1.0
4.881 0.000 0.000
2.440 4.425 -0.199
2.440 0.164 4.426
O Cd H Cu
4 1 2 1
Cartesian
6.129 1.345 1.194 O
3.632 3.289 2.984 O
3.632 1.300 1.243 O
6.129 3.244 3.033 O
0.000 0.000 0.000 Cd
7.321 3.189 2.938 H
2.440 1.399 1.289 H
4.881 2.294 2.113 Cu

***

Entry 2:
CdCuHPb2 GGA-PBE optimized geometry; uncorrected energy = -2.948 eV/atom; SG = P4/mmm, No. 123; total moment = 0.00 μB/f.u.
1.0
-1.805 -2.488 4.801
3.268 -4.534 -1.122
2.482 1.381 1.649
Pb Cu Cd H
2 1 1 1
Cartesian
-0.902 -1.244 2.400 Pb
1.634 -2.267 -0.561 Pb
0.000 0.000 0.000 Cu
1.972 -2.821 2.664 Cd
1.241 0.690 0.824 H

***

> The lowest uncorrected energy belongs to which entry?

CdCuH2O4

***

Copy entry 1 word for word.
CdCuH2O4 GGA-PBE optimized geometry; uncorrected energy = -4.525 eV/atom; SG = I222, No. 23; total moment = 0.79 μB/f.u.
1.0
4.881 0.000 0.000
2.440 4.425 -0.199
2.440 0.164 4.426
O Cd H Cu
4 1 2 1
Cartesian
6.129 1.345 1.194 O
3.632 3.289 2.984 O
3.632 1.300 1.243 O
6.129 3.244 3.033 O
0.000 0.000 0.000 Cd
7.321 3.189 2.938 H
2.440 1.399 1.289 H
4.881 2.294 2.113 Cu